# 1
Entry from OQMD via LeMat-Bulk: an optimized crystal structure of Gd2ErSn3Pt3 (PBE).

Summary:
space group	Amm2
VASP energy	-53.88	eV per cell

a = 4.027 Å, b = 7.519 Å, c = 7.519 Å
α = 119.77°, β = 90.00°, γ = 90.00°
Atoms (fractional coordinates):
Sn1 0.500 0.258 0.001
Pt1 0.000 0.002 0.002
Pt2 0.500 0.664 0.334
Sn2 0.500 0.742 0.742
Gd1 0.000 0.592 0.000
Pt3 0.500 0.334 0.664
Sn3 0.500 0.001 0.258
Gd2 0.000 0.000 0.592
Er1 0.000 0.407 0.407



# 2
Entry from OQMD via LeMat-Bulk: an optimized crystal structure of Gd3Er2TmTe2Pt (PBE).

Summary:
space group	Amm2
VASP energy	-48.32	eV per cell

a = 3.983 Å, b = 8.365 Å, c = 8.365 Å
α = 119.94°, β = 90.00°, γ = 90.00°
Atoms (fractional coordinates):
Tm1 0.500 0.758 0.758
Er1 0.500 0.000 0.243
Er2 0.500 0.243 0.000
Gd1 0.000 0.000 0.599
Te1 0.500 0.667 0.334
Gd2 0.000 0.402 0.402
Gd3 0.000 0.599 0.000
Pt1 0.000 0.999 0.999
Te2 0.500 0.334 0.667



# 3
Entry from OQMD via LeMat-Bulk: an optimized crystal structure of Rb2GdErS4 (PBE).

Summary:
space group	P-3m1
VASP energy	-42.46	eV per cell

a = 4.071 Å, b = 4.071 Å, c = 15.366 Å
α = 90.00°, β = 90.00°, γ = 120.00°
Atoms (fractional coordinates):
S1 0.667 0.333 0.905
Gd1 0.000 0.000 0.500
S2 0.667 0.333 0.598
S3 0.333 0.667 0.095
Rb1 0.667 0.333 0.250
Er1 0.000 0.000 0.000
S4 0.333 0.667 0.402
Rb2 0.333 0.667 0.750



# 4
Entry from OQMD via LeMat-Bulk: an optimized crystal structure of RbGdErTe3 (PBE).

Summary:
space group	Cmcm
VASP energy	-53.85	eV per cell

a = 8.718 Å, b = 8.718 Å, c = 11.938 Å
α = 90.00°, β = 90.00°, γ = 148.70°
Atoms (fractional coordinates):
Te1 0.931 0.069 0.750
Er1 0.465 0.535 0.250
Te2 0.373 0.627 0.045
Rb1 0.745 0.255 0.250
Gd1 0.000 0.000 0.000
Gd2 0.000 0.000 0.500
Te3 0.627 0.373 0.545
Rb2 0.255 0.745 0.750
Te4 0.627 0.373 0.955
Er2 0.535 0.465 0.750
Te5 0.373 0.627 0.455
Te6 0.069 0.931 0.250



# 5
Entry from OQMD via LeMat-Bulk: an optimized crystal structure of Rb2GdErTe4 (PBE).

Summary:
space group	P-3m1
VASP energy	-34.76	eV per cell

a = 4.517 Å, b = 4.517 Å, c = 17.114 Å
α = 90.00°, β = 90.00°, γ = 120.00°
Atoms (fractional coordinates):
Te1 0.333 0.667 0.398
Rb1 0.333 0.667 0.751
Rb2 0.667 0.333 0.249
Te2 0.667 0.333 0.602
Er1 0.000 0.000 0.000
Gd1 0.000 0.000 0.500
Te3 0.667 0.333 0.901
Te4 0.333 0.667 0.099



# 6
Entry from OQMD via LeMat-Bulk: an optimized crystal structure of GdErRe (PBE).

Summary:
space group	F-43m
calculated formation energy	1.172	eV/atom

a = 4.768 Å, b = 4.768 Å, c = 4.768 Å
α = 60.00°, β = 60.00°, γ = 60.00°
Atoms (fractional coordinates):
Re1 0.750 0.750 0.750
Gd1 0.000 0.000 0.000
Er1 0.250 0.250 0.250



# 7
Entry from OQMD via LeMat-Bulk: an optimized crystal structure of GdErS2 (PBE).

Summary:
space group	P4/mmm
VASP energy	-25.40	eV per cell

a = 3.903 Å, b = 3.903 Å, c = 5.522 Å
α = 90.00°, β = 90.00°, γ = 90.00°
Atoms (fractional coordinates):
S1 0.000 0.000 0.500
S2 0.500 0.500 0.000
Gd1 0.500 0.500 0.500
Er1 0.000 0.000 0.000



# 8
Entry from OQMD via LeMat-Bulk: an optimized crystal structure of Gd2ErS3 (PBE).

Summary:
space group	P-3m1
VASP energy	-38.26	eV per cell

a = 3.913 Å, b = 3.913 Å, c = 9.615 Å
α = 90.00°, β = 90.00°, γ = 120.00°
Atoms (fractional coordinates):
Gd1 0.667 0.333 0.832
S1 0.000 0.000 0.000
S2 0.667 0.333 0.340
Er1 0.000 0.000 0.500
S3 0.333 0.667 0.660
Gd2 0.333 0.667 0.168



# 9
Entry from OQMD via LeMat-Bulk: an optimized crystal structure of GdErSb2 (PBE).

Summary:
space group	P4/mmm
VASP energy	-21.96	eV per cell

a = 4.382 Å, b = 4.382 Å, c = 6.198 Å
α = 90.00°, β = 90.00°, γ = 90.00°
Atoms (fractional coordinates):
Er1 0.500 0.500 0.500
Sb1 0.000 0.000 0.500
Gd1 0.000 0.000 0.000
Sb2 0.500 0.500 0.000



# 10
Entry from OQMD via LeMat-Bulk: an optimized crystal structure of GdErSc2Sb2 (PBE).

Summary:
space group	I4mm
VASP energy	-35.08	eV per cell

a = 8.700 Å, b = 8.700 Å, c = 8.700 Å
α = 151.06°, β = 151.06°, γ = 41.38°
Atoms (fractional coordinates):
Sc1 0.000 0.500 0.500
Sb1 0.869 0.869 0.000
Sc2 0.500 0.000 0.500
Gd1 0.677 0.677 0.000
Er1 0.324 0.324 0.000
Sb2 0.131 0.131 0.000



# 11
Entry from OQMD via LeMat-Bulk: an optimized crystal structure of GdErZr2Sb2 (PBE).

Summary:
space group	I4mm
VASP energy	-39.35	eV per cell

a = 8.848 Å, b = 8.848 Å, c = 8.848 Å
α = 151.99°, β = 151.99°, γ = 40.02°
Atoms (fractional coordinates):
Er1 0.676 0.676 0.000
Sb1 0.867 0.867 0.000
Gd1 0.323 0.323 0.000
Zr1 0.501 0.001 0.500
Zr2 0.001 0.501 0.500
Sb2 0.133 0.133 0.000



# 12
Entry from OQMD via LeMat-Bulk: an optimized crystal structure of Gd2ErSc2 (PBE).

Summary:
space group	Cmcm
calculated formation energy	0.154	eV/atom

a = 5.420 Å, b = 5.420 Å, c = 11.293 Å
α = 90.00°, β = 90.00°, γ = 119.71°
Atoms (fractional coordinates):
Gd1 0.318 0.682 0.579
Sc1 0.977 0.023 0.623
Sc2 0.023 0.977 0.377
Sc3 0.977 0.023 0.877
Er1 0.648 0.352 0.750
Gd2 0.682 0.318 0.421
Sc4 0.023 0.977 0.123
Gd3 0.682 0.318 0.079
Gd4 0.318 0.682 0.921
Er2 0.352 0.648 0.250